The following is a DFT calculation (GGA-PBE) of a geometry-optimized BeTl2IrOs structure.

POSCAR file:
```
BeTl2IrOs
1.0
-2.4354 -3.5327 -1.9431
-0.0900 -1.9173 3.5984
-4.0305 2.1917 1.0670
Be Tl Ir Os
1 2 1 1
Direct
0.0000 0.0000 0.0000 Be
0.0000 0.0000 0.5000 Tl
0.5000 0.0000 0.0000 Tl
0.0000 0.5000 0.0000 Ir
0.5000 0.5000 0.5000 Os
```

## Properties
The space-group type is P4/mmm, No. 123. The final energy comes out at -22.244 eV per cell. The formation energy is 1261 meV/atom.